Entry 1:
Entry from Alexandria via LeMat-Bulk: an optimized crystal structure of K2Hg2Sb (PBE).

extended XYZ file:
```
10
Lattice="8.017 0.000 0.000 0.000 8.017 0.000 0.000 0.000 5.351" Properties=species:S:1:pos:R:3 pbc="T T T"
K 1.446 2.563 0.000
K 2.563 6.571 0.000
K 5.455 1.446 0.000
K 6.571 5.455 0.000
Hg 1.062 5.071 2.676
Hg 2.946 1.062 2.676
Hg 5.071 6.955 2.676
Hg 6.955 2.946 2.676
Sb 0.000 0.000 2.676
Sb 4.009 4.009 2.676
```

Properties
Formation energy without anion corrections, kJ/mol of formula units: -128.6
Total energy, eV per atom: -1.651
Space-group type: P4/mbm (127)

=====

Entry 2:
Entry from Alexandria via LeMat-Bulk: an optimized crystal structure of RbZn2Sn5 (PBE).

extended XYZ file:
```
8
Lattice="-2.150 4.250 6.215 2.150 -4.250 6.215 2.150 4.250 -6.215" Properties=species:S:1:pos:R:3 pbc="T T T"
Rb 0.000 0.000 0.000
Zn 2.150 0.000 3.097
Zn 0.000 4.250 3.118
Sn 2.150 2.577 -1.923
Sn 2.150 2.577 1.923
Sn 0.000 4.250 0.000
Sn 0.000 1.674 4.292
Sn 0.000 1.674 8.138
```

Properties
Formation enthalpy at 0 K, eV per atom: -0.007
Total energy, eV per atom: -2.948
Space-group type: Immm (71)

=====

Entry 3:
Entry from Alexandria via LeMat-Bulk: an optimized crystal structure of Cs2GeI6Br (PBE).

extended XYZ file:
```
10
Lattice="-4.373 4.373 5.880 4.373 -4.373 5.880 4.373 4.373 -5.880" Properties=species:S:1:pos:R:3 pbc="T T T"
Cs 4.373 0.000 2.940
Cs 0.000 4.373 2.940
Ge 0.000 0.000 0.000
I 1.991 1.991 0.000
I 2.383 -2.383 5.880
I 0.000 0.000 2.839
I 0.000 0.000 8.921
I -2.383 2.383 5.880
I 2.383 2.383 5.880
Br 0.000 0.000 5.880
```

Properties
Formation energy without anion corrections, kJ/mol of formula units: -646.3
Total energy, eV per atom: -2.400
Space-group type: I4/mmm (139)

=====

Entry 4:
Entry from Alexandria via LeMat-Bulk: an optimized crystal structure of Mg2RuBr (PBE).

extended XYZ file:
```
4
Lattice="3.030 -3.767 0.000 3.030 3.767 0.000 0.000 0.000 3.208" Properties=species:S:1:pos:R:3 pbc="T T T"
Mg 1.515 1.884 0.000
Mg 1.515 -1.884 0.000
Ru 0.000 0.000 1.604
Br 3.030 0.000 1.604
```

Properties
Formation energy without anion corrections, kJ/mol of formula units: 16.2
Total energy, eV per atom: -3.492
Space-group type: Cmmm (65)

=====

Entry 5:
Entry from Alexandria via LeMat-Bulk: an optimized crystal structure of NdYBeZn (PBE).

extended XYZ file:
```
4
Lattice="0.000 3.562 3.562 3.562 0.000 3.562 3.562 3.562 0.000" Properties=species:S:1:pos:R:3 pbc="T T T"
Nd 0.000 0.000 0.000
Y 3.562 3.562 3.562
Be 1.781 1.781 1.781
Zn 5.342 5.342 5.342
```

Properties
Formation enthalpy at 0 K, eV per atom: -0.073
Total energy, eV per atom: -4.131
Space-group type: F-43m (216)

=====

Entry 6:
Entry from Alexandria via LeMat-Bulk: an optimized crystal structure of Y2FeHgH (PBE).

extended XYZ file:
```
5
Lattice="5.021 0.000 0.000 0.000 5.021 0.000 0.000 0.000 3.673" Properties=species:S:1:pos:R:3 pbc="T T T"
Y 0.000 2.510 0.000
Y 2.510 0.000 0.000
Fe 0.000 0.000 1.837
Hg 2.510 2.510 1.837
H 0.000 0.000 0.000
```

Properties
Total energy, eV per atom: -5.256
Space-group type: P4/mmm (123)

=====

Entry 7:
Entry from Alexandria via LeMat-Bulk: an optimized crystal structure of MgCo2Mo (PBE).

extended XYZ file:
```
4
Lattice="2.906 0.000 0.000 0.000 4.159 0.000 0.000 0.000 4.520" Properties=species:S:1:pos:R:3 pbc="T T T"
Mg 0.000 0.000 0.000
Co 0.000 2.079 2.260
Co 1.453 2.079 0.000
Mo 1.453 0.000 2.260
```

Properties
Formation enthalpy at 0 K, eV per atom: 0.461
Total energy, eV per atom: -6.198
Space-group type: Pmmm (47)

=====

Entry 8:
Entry from Alexandria via LeMat-Bulk: an optimized crystal structure of Ho2InTe6Pb3 (PBE).

extended XYZ file:
```
12
Lattice="9.904 -2.229 0.000 9.904 2.229 0.000 -2.167 0.000 9.195" Properties=species:S:1:pos:R:3 pbc="T T T"
Ho 2.583 0.000 3.151
Ho 15.058 0.000 6.044
In 9.904 0.000 0.000
Te -0.357 0.000 2.374
Te 4.551 0.000 8.149
Te 5.606 0.000 3.901
Te 12.034 0.000 5.293
Te 13.090 0.000 1.045
Te 17.998 0.000 6.820
Pb 1.333 0.000 7.753
Pb 8.820 0.000 4.597
Pb 16.308 0.000 1.442
```

Properties
Formation energy without anion corrections, kJ/mol of formula units: -788.9
Total energy, eV per atom: -4.170
Space-group type: C2/m (12)

=====

Entry 9:
Entry from Alexandria via LeMat-Bulk: an optimized crystal structure of Ac2CdAg4Sn3 (PBE).

extended XYZ file:
```
10
Lattice="4.688 0.000 0.000 0.000 4.688 0.000 0.000 0.000 11.742" Properties=species:S:1:pos:R:3 pbc="T T T"
Ac 0.000 2.344 2.829
Ac 2.344 0.000 8.913
Cd 0.000 0.000 5.871
Ag 0.000 0.000 0.000
Ag 0.000 2.344 7.468
Ag 2.344 0.000 4.274
Ag 2.344 2.344 0.000
Sn 0.000 2.344 10.172
Sn 2.344 0.000 1.570
Sn 2.344 2.344 5.871
```

Properties
Formation enthalpy at 0 K, eV per atom: -0.406
Total energy, eV per atom: -3.660
Space-group type: P-4m2 (115)

=====

Entry 10:
Entry from Alexandria via LeMat-Bulk: an optimized crystal structure of Cu4Ni2Au5 (PBE).

extended XYZ file:
```
11
Lattice="9.354 -1.399 0.000 9.354 1.399 0.000 -0.783 0.000 6.307" Properties=species:S:1:pos:R:3 pbc="T T T"
Cu 0.426 0.000 2.239
Cu 4.974 0.000 1.077
Cu 12.950 0.000 5.229
Cu 17.499 0.000 4.068
Ni 7.576 0.000 2.055
Ni 10.349 0.000 4.251
Au 2.497 0.000 0.194
Au 2.976 0.000 3.018
Au 9.354 0.000 0.000
Au 14.949 0.000 3.289
Au 15.427 0.000 6.113
```

Properties
Formation enthalpy at 0 K, eV per atom: 0.063
Total energy, eV per atom: -3.967
Space-group type: C2/m (12)

=====

Entry 11:
Entry from Alexandria via LeMat-Bulk: an optimized crystal structure of Cd2BAu2 (PBE).

extended XYZ file:
```
10
Lattice="5.882 0.000 0.000 0.000 5.882 0.000 0.000 0.000 5.562" Properties=species:S:1:pos:R:3 pbc="T T T"
Cd 1.035 1.906 0.000
Cd 1.906 4.847 0.000
Cd 3.976 1.035 0.000
Cd 4.847 3.976 0.000
B 0.000 0.000 2.781
B 2.941 2.941 2.781
Au 1.074 4.015 2.781
Au 1.867 1.074 2.781
Au 4.015 4.808 2.781
Au 4.808 1.867 2.781
```

Properties
Formation enthalpy at 0 K, eV per atom: 0.306
Total energy, eV per atom: -2.706
Space-group type: P4/mbm (127)

=====

Entry 12:
Entry from Alexandria via LeMat-Bulk: an optimized crystal structure of Er2CuAg (PBE).

extended XYZ file:
```
4
Lattice="2.009 1.160 7.066 -2.009 1.160 7.066 0.000 -2.320 7.066" Properties=species:S:1:pos:R:3 pbc="T T T"
Er 0.000 0.000 5.139
Er 0.000 0.000 16.058
Cu 0.000 0.000 10.598
Ag 0.000 0.000 0.000
```

Properties
Formation enthalpy at 0 K, eV per atom: -0.062
Total energy, eV per atom: -4.080
Space-group type: R-3m (166)

=====

Question: Which value of total energy does entry 8 give?
Answer: -4.170 eV per atom

=====

Question: Number 6 is which compound?
Answer: Y2FeHgH

=====

Question: What is the formula in the ninth record?
Answer: Ac2CdAg4Sn3

=====

Question: Which value of total energy does entry 5 give?
Answer: -4.131 eV per atom